KLaY2 after structural relaxation. Source: the Alexandria database, functional PBE-GGA.

a = 3.589 Å, b = 3.589 Å, c = 13.311 Å
α = 90.00°, β = 90.00°, γ = 116.22°
Sites, in units of the cell vectors:
1 K 0.500 0.500 0.250
2 La 0.500 0.500 0.750
3 Y 0.000 0.000 0.976
4 Y 0.000 0.000 0.524

Output
- ρ: 3.84 g/cm3
- Formation energy: 0.2982 eV/atom
- V: 154 Å³/cell
- Energy relative to the lowest polymorph listed for this composition: 0.111 eV per atom
- Raw total energy: -4.44 eV per atom
- Density of states at the Fermi level: 2.144 states/eV/atom